Compound: Ba3NaNi
Source: the Alexandria database
Functional: PBE
Structure: optimized geometry

Results
**E above lowest polymorph**: 0.00 kcal/mol of atoms

a b c (Å): 6.2165 6.2165 6.2165
angles (deg): 90.00 90.00 90.00
Space group Pm-3m (No. 221)
Unique sites:
1 Ba 0.0000 0.0000 0.5000 x3
2 Na 0.5000 0.5000 0.5000 x1
3 Ni 0.0000 0.0000 0.0000 x1



Compound: KCuCl2
Source: the Alexandria database
Functional: PBE
Structure: optimized geometry

Results
**E above lowest polymorph**: 0.00 kcal/mol of atoms
**E_form (uncorrected)**: -1.2026 eV/atom

a b c (Å): 8.5131 4.9008 7.6906
angles (deg): 90.00 112.10 90.00
Space group C2/m (No. 12)
Unique sites:
1 K 0.0000 0.0000 0.0000 x2
2 Cu 0.0000 0.5000 0.5000 x2
3 Cl 0.0976 0.5000 0.7953 x4



Compound: Na3Dy2YO6
Source: the Alexandria database
Functional: PBE
Structure: optimized geometry

Results
**E_form (uncorrected)**: -2.7929 eV/atom

a b c (Å): 5.9417 10.2911 5.9258
angles (deg): 90.00 109.53 90.00
Space group C2/m (No. 12)
Unique sites:
1 Na 0.0000 0.0000 0.0000 x2
2 Na 0.0000 0.3331 0.0000 x4
3 Dy 0.0000 0.1667 0.5000 x4
4 Y 0.0000 0.5000 0.5000 x2
5 O 0.2365 0.0000 0.7113 x4
6 O 0.2374 0.3330 0.7112 x8



Compound: ZrTeAs
Source: the Alexandria database
Functional: PBE
Structure: optimized geometry

Results
**E_form (uncorrected)**: -0.4134 eV/atom

a b c (Å): 4.6755 4.6755 3.7406
angles (deg): 90.00 90.00 120.00
Space group P-6m2 (No. 187)
Unique sites:
1 Zr 0.0000 0.0000 0.0000 x1
2 Te 0.3333 0.6667 0.5000 x1
3 As 0.6667 0.3333 0.0000 x1



Compound: Er6PbS4
Source: the Alexandria database
Functional: PBE
Structure: optimized geometry

Results
**E_form (uncorrected)**: -1.5375 eV/atom

a b c (Å): 3.9144 12.9343 19.9162
angles (deg): 90.00 90.00 90.00
Space group Cmcm (No. 63)
Unique sites:
1 Er 0.0000 0.0000 0.0000 x4
2 Er 0.0000 0.1475 0.2500 x4
3 Er 0.0000 0.2713 0.5835 x8
4 Er 0.0000 0.4606 0.1578 x8
5 Pb 0.0000 0.1671 0.7500 x4
6 S 0.0000 0.0940 0.1209 x8
7 S 0.0000 0.3622 0.0389 x8



Compound: TbDy6Y2Ho
Source: the Alexandria database
Functional: PBE
Structure: optimized geometry

Results
**Total energy**: -4.850 eV/atom

a b c (Å): 9.0745 15.0146 9.5056
angles (deg): 90.00 97.06 90.00
Space group C2/c (No. 15)
Unique sites:
1 Tb 0.0000 0.0253 0.2500 x4
2 Dy 0.0622 0.1855 0.9434 x8
3 Dy 0.1002 0.3911 0.1190 x8
4 Dy 0.2070 0.2247 0.3147 x8
5 Y 0.2499 0.0516 0.5450 x8
6 Ho 0.0000 0.4093 0.7500 x4



Compound: NaCe2NpO8
Source: the Alexandria database
Functional: PBE
Structure: optimized geometry

Results
**E_form (uncorrected)**: -2.8423 eV/atom

a b c (Å): 5.1838 7.0474 5.1918
angles (deg): 90.00 91.38 90.00
Space group P2/m (No. 10)
Unique sites:
1 Na 0.0000 0.0000 0.0000 x1
2 Ce 0.5000 0.2440 0.5000 x2
3 Np 0.0000 0.5000 0.0000 x1
4 O 0.1819 0.2983 0.8198 x4
5 O 0.3027 0.5000 0.3040 x2
6 O 0.3216 0.0000 0.3235 x2



Compound: Rb3NpU3S8
Source: the Alexandria database
Functional: PBE
Structure: optimized geometry

Results
**E_form (uncorrected)**: -1.3999 eV/atom

a b c (Å): 8.0859 8.0859 23.5057
angles (deg): 90.00 90.00 120.00
Space group R-3m (No. 166, hexagonal axes)
Unique sites:
1 Rb 0.0000 0.5000 0.0000 x9
2 Np 0.0000 0.0000 0.5000 x3
3 U 0.0000 0.5000 0.5000 x9
4 S 0.0000 0.0000 0.2309 x6
5 S 0.0021 0.5010 0.7711 x18



Compound: La15Ho4In
Source: the Alexandria database
Functional: PBE
Structure: optimized geometry

Results
**Total energy**: -4.795 eV/atom

a b c (Å): 5.1644 5.1644 26.0033
angles (deg): 90.00 90.00 90.00
Space group P4/mmm (No. 123)
Unique sites:
1 La 0.0000 0.0000 0.0000 x1
2 La 0.0000 0.0000 0.1989 x2
3 La 0.0000 0.0000 0.3987 x2
4 La 0.0000 0.5000 0.0973 x4
5 La 0.0000 0.5000 0.2990 x4
6 La 0.0000 0.5000 0.5000 x2
7 Ho 0.5000 0.5000 0.1983 x2
8 Ho 0.5000 0.5000 0.3998 x2
9 In 0.5000 0.5000 0.0000 x1



Compound: SrZnSn2
Source: the Alexandria database
Functional: PBE
Structure: optimized geometry

Results
**Total energy**: -2.916 eV/atom

a b c (Å): 5.2205 5.2205 18.8723
angles (deg): 90.00 90.00 90.00
Space group I-42d (No. 122)
Unique sites:
1 Sr 0.0000 0.0000 0.0000 x4
2 Zn 0.0000 0.0000 0.5000 x4
3 Sn 0.1509 0.2500 0.6250 x8



Compound: Tb5Er3Co2
Source: the Alexandria database
Functional: PBE
Structure: optimized geometry

Results
**Total energy**: -5.139 eV/atom

a b c (Å): 10.1555 14.7011 7.6187
angles (deg): 90.00 90.00 90.00
Space group Ibam (No. 72)
Unique sites:
1 Tb 0.0000 0.0000 0.2500 x4
2 Tb 0.0000 0.2464 0.2500 x8
3 Tb 0.2441 0.1217 0.0000 x8
4 Er 0.0000 0.5000 0.2500 x4
5 Er 0.2446 0.1244 0.5000 x8
6 Co 0.0003 0.3709 0.0000 x8



Compound: Fe2PdRu2
Source: the Alexandria database
Functional: PBE
Structure: optimized geometry

Results
**Total energy**: -7.850 eV/atom

a b c (Å): 7.1367 7.1367 2.7037
angles (deg): 90.00 90.00 90.00
Space group P4/mbm (No. 127)
Unique sites:
1 Fe 0.1671 0.3329 0.0000 x4
2 Pd 0.0000 0.0000 0.5000 x2
3 Ru 0.1286 0.6286 0.5000 x4



Copy entry 6 word for word.
Compound: TbDy6Y2Ho
Source: the Alexandria database
Functional: PBE
Structure: optimized geometry

Results
**Total energy**: -4.850 eV/atom

a b c (Å): 9.0745 15.0146 9.5056
angles (deg): 90.00 97.06 90.00
Space group C2/c (No. 15)
Unique sites:
1 Tb 0.0000 0.0253 0.2500 x4
2 Dy 0.0622 0.1855 0.9434 x8
3 Dy 0.1002 0.3911 0.1190 x8
4 Dy 0.2070 0.2247 0.3147 x8
5 Y 0.2499 0.0516 0.5450 x8
6 Ho 0.0000 0.4093 0.7500 x4